1.
Here is a geometry-optimized La5PmY structure from Alexandria via LeMat-Bulk. Energies are from PBE-GGA.

a = 7.049 Å, b = 7.049 Å, c = 12.772 Å
α = 109.45°, β = 109.45°, γ = 59.82°
Fractional coordinates of all 14 atoms:
La 0.076 0.924 0.750
La 0.086 0.352 0.750
La 0.156 0.687 0.997
La 0.313 0.844 0.503
La 0.352 0.086 0.250
La 0.648 0.914 0.750
La 0.687 0.156 0.497
La 0.844 0.313 0.003
La 0.914 0.648 0.250
La 0.924 0.076 0.250
Pm 0.000 0.500 0.500
Pm 0.500 0.000 0.000
Y 0.473 0.527 0.250
Y 0.527 0.473 0.750

Its symmetry is C2/c (15). As for the energy of formation: 1.0 eV per formula unit.

=====

2.
Here is a geometry-optimized LiTaSe4 structure from Alexandria via LeMat-Bulk. Energies are from PBE-GGA.

a = 5.669 Å, b = 5.669 Å, c = 5.669 Å
α = 60.00°, β = 60.00°, γ = 60.00°
Fractional coordinates of all 6 atoms:
Li 0.000 0.000 0.000
Ta 0.250 0.250 0.250
Se 0.127 0.624 0.624
Se 0.624 0.127 0.624
Se 0.624 0.624 0.127
Se 0.624 0.624 0.624

Its symmetry is F-43m (216). Its formation energy from raw total energies is 0.774 eV per atom.

=====

3.
Here is a geometry-optimized TaWBr2 structure from Alexandria via LeMat-Bulk. Energies are from PBE-GGA.

a = 6.614 Å, b = 6.614 Å, c = 6.614 Å
α = 125.18°, β = 125.18°, γ = 81.23°
Fractional coordinates of all 8 atoms:
Ta 0.000 0.000 0.000
Ta 0.750 0.250 0.500
W 0.250 0.750 0.500
W 0.500 0.500 0.000
Br 0.136 0.625 0.011
Br 0.375 0.386 0.511
Br 0.614 0.125 0.989
Br 0.875 0.864 0.489

Its symmetry is I-42d (122). Its formation energy from raw total energies is 1.716 eV per atom.

=====

4.
Here is a geometry-optimized TiP2IrCl structure from Alexandria via LeMat-Bulk. Energies are from PBE-GGA.

a = 4.758 Å, b = 4.758 Å, c = 4.403 Å
α = 90.00°, β = 90.00°, γ = 90.00°
Fractional coordinates of all 5 atoms:
Ti 0.000 0.000 0.000
P 0.000 0.500 0.000
P 0.500 0.000 0.000
Ir 0.500 0.500 0.500
Cl 0.000 0.000 0.500

Its symmetry is P4/mmm (123). Its formation energy from raw total energies is 0.745 eV per atom.

=====

5.
Here is a geometry-optimized K2RbAsI6 structure from Alexandria via LeMat-Bulk. Energies are from PBE-GGA.

a = 8.926 Å, b = 8.926 Å, c = 8.926 Å
α = 60.00°, β = 60.00°, γ = 60.00°
Fractional coordinates of all 10 atoms:
K 0.250 0.250 0.250
K 0.750 0.750 0.750
Rb 0.000 0.000 0.000
As 0.500 0.500 0.500
I 0.273 0.273 0.727
I 0.273 0.727 0.273
I 0.273 0.727 0.727
I 0.727 0.273 0.273
I 0.727 0.273 0.727
I 0.727 0.727 0.273

Its symmetry is Fm-3m (225). Its formation energy from raw total energies is -0.849 eV per atom.

=====

6.
Here is a geometry-optimized BaPtW structure from Alexandria via LeMat-Bulk. Energies are from PBE-GGA.

a = 8.246 Å, b = 4.484 Å, c = 8.634 Å
α = 90.00°, β = 90.00°, γ = 90.00°
Fractional coordinates of all 12 atoms:
Ba 0.002 0.250 0.176
Ba 0.498 0.750 0.676
Ba 0.502 0.250 0.324
Ba 0.998 0.750 0.824
Pt 0.171 0.250 0.572
Pt 0.329 0.750 0.072
Pt 0.671 0.250 0.928
Pt 0.829 0.750 0.428
W 0.138 0.750 0.443
W 0.362 0.250 0.943
W 0.638 0.750 0.057
W 0.862 0.250 0.557

Its symmetry is Pnma (62). As for the energy of formation: 1.1 eV per formula unit.

=====

7.
Here is a geometry-optimized Ac12Pr6Sm structure from Alexandria via LeMat-Bulk. Energies are from PBE-GGA.

a = 9.471 Å, b = 9.471 Å, c = 9.471 Å
α = 98.09°, β = 98.09°, γ = 98.09°
Fractional coordinates of all 19 atoms:
Ac 0.000 0.262 0.738
Ac 0.000 0.738 0.262
Ac 0.172 0.586 0.586
Ac 0.262 0.000 0.738
Ac 0.262 0.738 0.000
Ac 0.414 0.414 0.828
Ac 0.414 0.828 0.414
Ac 0.586 0.172 0.586
Ac 0.586 0.586 0.172
Ac 0.738 0.000 0.262
Ac 0.738 0.262 0.000
Ac 0.828 0.414 0.414
Pr 0.139 0.139 0.402
Pr 0.139 0.402 0.139
Pr 0.402 0.139 0.139
Pr 0.598 0.861 0.861
Pr 0.861 0.598 0.861
Pr 0.861 0.861 0.598
Sm 0.000 0.000 0.000

Its symmetry is R-3m (166). As for the energy of formation: 3.0 eV per formula unit.

=====

8.
Here is a geometry-optimized MgZnP2 structure from Alexandria via LeMat-Bulk. Energies are from PBE-GGA.

a = 4.381 Å, b = 4.381 Å, c = 3.530 Å
α = 90.96°, β = 90.96°, γ = 74.84°
Fractional coordinates of all 4 atoms:
Mg 0.000 0.000 0.000
Zn 0.500 0.500 0.000
P 0.000 0.500 0.500
P 0.500 0.000 0.500

Its symmetry is C2/m (12). As for the energy of formation: 0.2 eV per formula unit.

=====

9.
Here is a geometry-optimized Pu2Ni2Au structure from Alexandria via LeMat-Bulk. Energies are from PBE-GGA.

a = 7.047 Å, b = 7.047 Å, c = 3.847 Å
α = 90.00°, β = 90.00°, γ = 90.00°
Fractional coordinates of all 10 atoms:
Pu 0.176 0.324 0.000
Pu 0.324 0.824 0.000
Pu 0.676 0.176 0.000
Pu 0.824 0.676 0.000
Ni 0.124 0.624 0.500
Ni 0.376 0.124 0.500
Ni 0.624 0.876 0.500
Ni 0.876 0.376 0.500
Au 0.000 0.000 0.500
Au 0.500 0.500 0.500

Its symmetry is P4/mbm (127). As for the energy of formation: -1.3 eV per formula unit.

=====

10.
Here is a geometry-optimized BaCaSiAg structure from Alexandria via LeMat-Bulk. Energies are from PBE-GGA.

a = 5.465 Å, b = 5.465 Å, c = 5.465 Å
α = 60.00°, β = 60.00°, γ = 60.00°
Fractional coordinates of all 4 atoms:
Ba 0.000 0.000 0.000
Ca 0.500 0.500 0.500
Si 0.250 0.250 0.250
Ag 0.750 0.750 0.750

Its symmetry is F-43m (216). Its formation energy from raw total energies is -0.225 eV per atom.

=====

11.
Here is a geometry-optimized MnAlSn3 structure from Alexandria via LeMat-Bulk. Energies are from PBE-GGA.

a = 5.031 Å, b = 5.031 Å, c = 5.031 Å
α = 90.00°, β = 90.00°, γ = 90.00°
Fractional coordinates of all 5 atoms:
Mn 0.000 0.000 0.000
Al 0.500 0.500 0.500
Sn 0.000 0.000 0.500
Sn 0.000 0.500 0.000
Sn 0.500 0.000 0.000

Its symmetry is Pm-3m (221). As for the energy of formation: 1.7 eV per formula unit.

=====

12.
Here is a geometry-optimized Gd4C2Cl3 structure from Alexandria via LeMat-Bulk. Energies are from PBE-GGA.

a = 10.681 Å, b = 3.692 Å, c = 20.053 Å
α = 90.00°, β = 90.00°, γ = 90.00°
Fractional coordinates of all 36 atoms:
Gd 0.104 0.250 0.167
Gd 0.127 0.250 0.335
Gd 0.134 0.250 0.756
Gd 0.137 0.250 0.926
Gd 0.363 0.750 0.426
Gd 0.366 0.750 0.256
Gd 0.373 0.750 0.835
Gd 0.396 0.750 0.667
Gd 0.604 0.250 0.333
Gd 0.627 0.250 0.165
Gd 0.634 0.250 0.744
Gd 0.637 0.250 0.574
Gd 0.863 0.750 0.074
Gd 0.866 0.750 0.244
Gd 0.873 0.750 0.665
Gd 0.896 0.750 0.833
C 0.115 0.750 0.249
C 0.134 0.750 0.848
C 0.366 0.250 0.348
C 0.385 0.250 0.749
C 0.615 0.750 0.251
C 0.634 0.750 0.652
C 0.866 0.250 0.152
C 0.885 0.250 0.751
Cl 0.115 0.750 0.444
Cl 0.123 0.750 0.047
Cl 0.136 0.750 0.646
Cl 0.364 0.250 0.146
Cl 0.377 0.250 0.547
Cl 0.385 0.250 0.944
Cl 0.615 0.750 0.056
Cl 0.623 0.750 0.453
Cl 0.636 0.750 0.854
Cl 0.864 0.250 0.354
Cl 0.877 0.250 0.953
Cl 0.885 0.250 0.556

Its symmetry is Pnma (62). Its formation energy from raw total energies is -1.314 eV per atom.